(1)
A plane-wave DFT calculation with PBE-GGA was carried out for a relaxed structure of ZnInHg6.

Output
The uncorrected energy is -0.67 eV per atom. The value obtained for the magnetization is 0.00 μB/cell.

Structure (CIF):
```
data_ZnInHg6
_chemical_formula_sum 'Zn4 In4 Hg24'
_symmetry_space_group_name_H-M 'C m m e'
_symmetry_Int_Tables_number 67
_symmetry_space_group_name_Hall '-C 2a 2'
_cell_length_a 9.232
_cell_length_b 12.852
_cell_length_c 7.414
_cell_angle_alpha 90.00
_cell_angle_beta 90.00
_cell_angle_gamma 90.00
loop_
_atom_site_label
_atom_site_type_symbol
_atom_site_fract_x
_atom_site_fract_y
_atom_site_fract_z
Zn1 Zn 0.250 0.000 0.000
In1 In 0.000 0.250 0.432
Hg1 Hg 0.000 0.129 0.068
Hg2 Hg 0.189 0.122 0.698
```


(2)
A plane-wave DFT calculation with PBE-GGA was carried out for a relaxed structure of Dy7InSi5.

Output
The uncorrected energy is -5.20 eV per atom. The raw formation energy is -0.425 eV/atom. The value obtained for the magnetization is 0.00 μB/cell.

Structure (CIF):
```
data_Dy7InSi5
_chemical_formula_sum 'Dy14 In2 Si10'
_symmetry_space_group_name_H-M 'I m m 2'
_symmetry_Int_Tables_number 44
_cell_length_a 5.860
_cell_length_b 10.766
_cell_length_c 9.848
_cell_angle_alpha 90.00
_cell_angle_beta 90.00
_cell_angle_gamma 90.00
loop_
_symmetry_equiv_pos_as_xyz
'x,y,z'
'-x,-y,z'
'-x,y,z'
'x,-y,z'
'x+1/2,y+1/2,z+1/2'
'-x+1/2,-y+1/2,z+1/2'
'-x+1/2,y+1/2,z+1/2'
'x+1/2,-y+1/2,z+1/2'
loop_
_atom_site_label
_atom_site_type_symbol
_atom_site_fract_x
_atom_site_fract_y
_atom_site_fract_z
Dy1 Dy 0.000 0.000 0.000
Dy2 Dy 0.000 0.000 0.369
Dy3 Dy 0.000 0.326 0.649
Dy4 Dy 0.000 0.333 0.094
Dy5 Dy 0.000 0.500 0.354
In1 In 0.000 0.000 0.682
Si1 Si 0.000 0.500 0.867
Si2 Si 0.212 0.259 0.379
```


(3)
A plane-wave DFT calculation with PBE-GGA was carried out for a relaxed structure of SrGdBr2.

Output
The uncorrected energy is -5.93 eV per atom. The raw formation energy is -1.150 eV/atom. The value obtained for the magnetization is 22.38 μB/cell.

Structure (CIF):
```
data_SrGdBr2
_chemical_formula_sum 'Sr3 Gd3 Br6'
_symmetry_space_group_name_H-M 'R -3 m'
_symmetry_Int_Tables_number 166
_symmetry_space_group_name_Hall '-R 3 2"'
_cell_length_a 3.9732
_cell_length_b 3.9732
_cell_length_c 31.3354
_cell_angle_alpha 90.00
_cell_angle_beta 90.00
_cell_angle_gamma 120.00
loop_
_atom_site_label
_atom_site_type_symbol
_atom_site_fract_x
_atom_site_fract_y
_atom_site_fract_z
Sr1 Sr 0.0000 0.0000 0.0000
Gd1 Gd 0.0000 0.0000 0.5000
Br1 Br 0.0000 0.0000 0.1047
```